A plane-wave DFT calculation with PBE was carried out for a geometry-optimized Cd2In7Hg12 structure.

a = 13.7316 Å, b = 13.7316 Å, c = 3.4222 Å
α = 90.00°, β = 90.00°, γ = 120.00°
With the nearest neighbours (Å) after each atom.
Positions (direct):
Cd  0.3333  0.6667  0.1262  3 Hg 3.15, 6 In 3.25-3.42, 2 Cd 3.42
Cd  0.6667  0.3333  0.8738  3 Hg 3.15, 6 In 3.25-3.42, 2 Cd 3.42
In  0.0000  0.0000  0.5000  6 Hg 3.10, 2 In 3.42
In  0.8776  0.3386  0.4233  5 Hg 3.08-3.28, 2 Cd 3.25-3.42, 2 In 3.42
In  0.4611  0.1224  0.4233  5 Hg 3.08-3.28, 2 Cd 3.25-3.42, 2 In 3.42
In  0.6614  0.5389  0.4233  5 Hg 3.08-3.28, 2 Cd 3.25-3.42, 2 In 3.42
In  0.1224  0.6614  0.5767  5 Hg 3.08-3.28, 2 Cd 3.25-3.42, 2 In 3.42
In  0.5389  0.8776  0.5767  5 Hg 3.08-3.28, 2 Cd 3.25-3.42, 2 In 3.42
In  0.3386  0.4611  0.5767  5 Hg 3.08-3.28, 2 Cd 3.25-3.42, 2 In 3.42
Hg  0.6656  0.1083  0.0695  3 Hg 3.13-3.42, 4 In 3.15-3.28, 1 Cd 3.15
Hg  0.4427  0.3344  0.0695  3 Hg 3.13-3.42, 4 In 3.15-3.28, 1 Cd 3.15
Hg  0.8917  0.5573  0.0695  3 Hg 3.13-3.42, 4 In 3.15-3.28, 1 Cd 3.15
Hg  0.3344  0.8917  0.9305  3 Hg 3.13-3.42, 4 In 3.15-3.28, 1 Cd 3.15
Hg  0.5573  0.6656  0.9305  3 Hg 3.13-3.42, 4 In 3.15-3.28, 1 Cd 3.15
Hg  0.1083  0.4427  0.9305  3 Hg 3.13-3.42, 4 In 3.15-3.28, 1 Cd 3.15
Hg  0.1440  0.2462  0.2138  2 In 3.08-3.10, 5 Hg 3.13-3.42
Hg  0.1022  0.8560  0.2138  2 In 3.08-3.10, 5 Hg 3.13-3.42
Hg  0.7538  0.8978  0.2138  2 In 3.08-3.10, 5 Hg 3.13-3.42
Hg  0.8560  0.7538  0.7862  2 In 3.08-3.10, 5 Hg 3.13-3.42
Hg  0.8978  0.1440  0.7862  2 In 3.08-3.10, 5 Hg 3.13-3.42
Hg  0.2462  0.1022  0.7862  2 In 3.08-3.10, 5 Hg 3.13-3.42

Values from the calculation:
Uncorrected energy: -1.15 eV per atom
Crystal system: trigonal



A plane-wave DFT calculation with PBE was carried out for a geometry-optimized Pm3Ge2F structure.

a = 5.9555 Å, b = 8.2368 Å, c = 7.2264 Å
α = 106.72°, β = 114.33°, γ = 90.00°
With the nearest neighbours (Å) after each atom.
Positions (direct):
Pm  0.4528  0.2500  0.0000  1 F 2.37
Pm  0.5472  0.7500  0.0000  1 F 2.37
Pm  0.1653  0.0827  0.3335  4 Ge 2.94-2.99, 2 F 2.94-2.96
Pm  0.8318  0.4173  0.6665  4 Ge 2.94-2.99, 2 F 2.94-2.96
Pm  0.1682  0.5827  0.3335  4 Ge 2.94-2.99, 2 F 2.94-2.96
Pm  0.8347  0.9173  0.6665  4 Ge 2.94-2.99, 2 F 2.94-2.96
Ge  0.6688  0.5827  0.3309  6 Pm 2.93-2.99
Ge  0.6621  0.0827  0.3309  6 Pm 2.93-2.99
Ge  0.3379  0.9173  0.6691  6 Pm 2.93-2.99
Ge  0.3312  0.4173  0.6691  6 Pm 2.93-2.99
F  0.9453  0.7500  0.0000  1 Pm 2.37
F  0.0547  0.2500  0.0000  1 Pm 2.37

Values from the calculation:
Crystal system: monoclinic
Formation energy from raw total energies: -1.386 eV/atom



A plane-wave DFT calculation with PBE was carried out for a geometry-optimized Dy5TmIn3 structure.

a = 6.7083 Å, b = 9.3220 Å, c = 9.3216 Å
α = 120.00°, β = 90.00°, γ = 90.00°
With the nearest neighbours (Å) after each atom.
Positions (direct):
Dy  0.0000  0.6667  0.3333  8 Dy 3.35-3.53, 6 In 3.53-3.54
Dy  0.5000  0.3333  0.6667  8 Dy 3.35-3.53, 6 In 3.53-3.54
Dy  0.0000  0.3333  0.6667  8 Dy 3.35-3.53, 6 In 3.53-3.54
Dy  0.5000  0.6667  0.3333  8 Dy 3.35-3.53, 6 In 3.53-3.54
Dy  0.7500  0.6669  0.6669  5 In 3.10-3.35
Dy  0.7500  0.0000  0.3331  5 In 3.10-3.35
Dy  0.7500  0.3331  0.0000  5 In 3.10-3.35
Dy  0.2500  0.3331  0.3331  5 In 3.10-3.35
Dy  0.2500  0.0000  0.6669  5 In 3.10-3.35
Dy  0.2500  0.6669  0.0000  5 In 3.10-3.35
Tm  0.0000  0.0000  0.0000  2 Tm 3.35, 6 In 3.52, 6 Dy 3.53
Tm  0.5000  0.0000  0.0000  2 Tm 3.35, 6 In 3.52, 6 Dy 3.53
In  0.7500  0.3323  0.3323  5 Dy 3.10-3.35
In  0.7500  0.0000  0.6677  5 Dy 3.10-3.35
In  0.7500  0.6676  0.0000  5 Dy 3.10-3.35
In  0.2500  0.6677  0.6677  5 Dy 3.10-3.35
In  0.2500  0.0000  0.3323  5 Dy 3.10-3.35
In  0.2500  0.3324  0.0000  5 Dy 3.10-3.35

Values from the calculation:
Uncorrected energy: -4.32 eV per atom
Crystal system: hexagonal